[1]
Here is an optimized crystal structure of CoIrSe4 from Alexandria. Energies are from GGA-PBE.

CIF file:
```
data_CoIrSe4
_chemical_formula_sum 'Co1 Ir1 Se4'
_cell_length_a 6.8860
_cell_length_b 6.8860
_cell_length_c 6.8860
_cell_angle_alpha 139.32
_cell_angle_beta 139.32
_cell_angle_gamma 58.88
_symmetry_space_group_name_H-M 'P 1'
_symmetry_Int_Tables_number 1
loop_
_symmetry_equiv_pos_as_xyz
'x,y,z'
loop_
_atom_site_label
_atom_site_type_symbol
_atom_site_fract_x
_atom_site_fract_y
_atom_site_fract_z
Co1 Co 0.0000 0.0000 0.0000
Ir1 Ir 0.2500 0.7500 0.5000
Se1 Se 0.0415 0.5415 0.5000
Se2 Se 0.1940 0.1940 0.0000
Se3 Se 0.4585 0.9585 0.5000
Se4 Se 0.8060 0.8060 0.0000
```

* formation energy without anion corrections: 0.06 eV/f.u.
* space-group type: I-4m2 (119)

***

[2]
Here is an optimized crystal structure of TaMn2B4 from Alexandria. Energies are from GGA-PBE.

CIF file:
```
data_TaMn2B4
_chemical_formula_sum 'Ta1 Mn2 B4'
_cell_length_a 6.8066
_cell_length_b 6.8066
_cell_length_c 6.8066
_cell_angle_alpha 154.24
_cell_angle_beta 153.14
_cell_angle_gamma 37.56
_symmetry_space_group_name_H-M 'P 1'
_symmetry_Int_Tables_number 1
loop_
_symmetry_equiv_pos_as_xyz
'x,y,z'
loop_
_atom_site_label
_atom_site_type_symbol
_atom_site_fract_x
_atom_site_fract_y
_atom_site_fract_z
Ta1 Ta 0.0000 0.0000 0.0000
Mn1 Mn 0.1871 0.6871 0.5000
Mn2 Mn 0.8129 0.3129 0.5000
B1 B 0.3533 0.8533 0.5000
B2 B 0.4278 0.4278 0.0000
B3 B 0.5722 0.5722 0.0000
B4 B 0.6467 0.1467 0.5000
```

* space-group type: Immm (71)
* formation energy: -4.096 eV/f.u.